# Pr2Y3Ir2

A geometry-optimized Pr2Y3Ir2 structure (GGA-PBE, Alexandria).

## Properties
- ΔE_f: -0.5587 eV per atom
- Crystal system: monoclinic

Cell lengths 6.5052, 6.5052, 9.1512 Å; angles 115.49, 115.49, 34.27 degrees
Closest atoms and distances in Å follow each position.
Atoms (fractional coordinates):
Pr1 0.1671 0.1671 0.3063  2 Ir 2.93
Pr2 0.8329 0.8329 0.6937  2 Ir 2.93
Y1 0.3799 0.3799 0.0706  3 Ir 2.84-2.95
Y2 0.5000 0.5000 0.5000  4 Ir 2.98
Y3 0.6201 0.6201 0.9294  3 Ir 2.84-2.95
Ir1 0.1729 0.1729 0.7413  5 Y 2.84-2.98, 2 Pr 2.93
Ir2 0.8271 0.8271 0.2587  5 Y 2.84-2.98, 2 Pr 2.93

---

# Ce3DyPb3

A geometry-optimized Ce3DyPb3 structure (GGA-PBE, Alexandria).

## Properties
- ΔE_f: -0.1829 eV per atom
- Crystal system: monoclinic

Cell lengths 7.6875, 7.6875, 8.6640 Å; angles 94.20, 94.20, 115.72 degrees
Closest atoms and distances in Å follow each position.
Atoms (fractional coordinates):
Ce1 0.1764 0.8236 0.0000  6 Pb 3.08-3.40
Ce2 0.2362 0.7638 0.5000  4 Pb 3.30-3.39
Ce3 0.3670 0.3670 0.0838  1 Ce 2.78
Ce4 0.6330 0.6330 0.9162  1 Ce 2.78
Ce5 0.7638 0.2362 0.5000  4 Pb 3.30-3.39
Ce6 0.8236 0.1764 0.0000  6 Pb 3.08-3.40
Dy1 0.2888 0.2888 0.5125  4 Pb 3.05-3.29
Dy2 0.7112 0.7112 0.4875  4 Pb 3.05-3.29
Pb1 0.0040 0.0040 0.7459  2 Dy 3.05-3.29, 2 Ce 3.18, 2 Pb 3.29
Pb2 0.1461 0.4765 0.7783  5 Ce 3.08-3.40, 1 Dy 3.14, 1 Pb 3.29
Pb3 0.4765 0.1461 0.7783  5 Ce 3.08-3.40, 1 Dy 3.14, 1 Pb 3.29
Pb4 0.5235 0.8539 0.2217  5 Ce 3.08-3.40, 1 Dy 3.14, 1 Pb 3.29
Pb5 0.8539 0.5235 0.2217  5 Ce 3.08-3.40, 1 Dy 3.14, 1 Pb 3.29
Pb6 0.9960 0.9960 0.2541  2 Dy 3.05-3.29, 2 Ce 3.18, 2 Pb 3.29

---

# Sm4GeSeS2

A geometry-optimized Sm4GeSeS2 structure (GGA-PBE, Alexandria).

## Properties
- Crystal system: monoclinic
- Formation energy (no corrections): -166.8 kJ/mol of atoms

Cell lengths 7.0984, 4.1231, 7.1736 Å; angles 90.00, 109.55, 90.00 degrees
Closest atoms and distances in Å follow each position.
Atoms (fractional coordinates):
Sm1 0.2411 0.0000 0.2382  3 S 2.85-2.93, 1 Ge 2.90, 2 Se 2.97
Sm2 0.2466 0.5000 0.7543  3 S 2.87-2.92, 2 Ge 2.91, 1 Se 2.96
Sm3 0.7534 0.5000 0.2457  3 S 2.87-2.92, 2 Ge 2.91, 1 Se 2.96
Sm4 0.7589 0.0000 0.7618  3 S 2.85-2.93, 1 Ge 2.90, 2 Se 2.97
Ge1 0.5000 0.0000 0.0000  6 Sm 2.90-2.91
Se1 0.5000 0.5000 0.5000  6 Sm 2.96-2.97
S1 0.0000 0.0000 0.5000  6 Sm 2.92-2.93
S2 0.0000 0.5000 0.0000  6 Sm 2.85-2.87

---

# SmY3Cu

A geometry-optimized SmY3Cu structure (GGA-PBE, Alexandria).

## Properties
- ΔE_f: 0.0330 eV per atom
- Crystal system: monoclinic
- Energy above the most stable polymorph in this dataset: 0 meV per atom

Cell lengths 7.1844, 7.1844, 7.8663 Å; angles 120.25, 120.25, 72.34 degrees
Closest atoms and distances in Å follow each position.
Atoms (fractional coordinates):
Sm1 0.0812 0.0812 0.2793  2 Cu 2.86-2.96
Sm2 0.9188 0.9188 0.7207  2 Cu 2.86-2.96
Y1 0.0035 0.4033 0.7390  2 Cu 2.78-3.02
Y2 0.4033 0.0035 0.7390  2 Cu 2.78-3.02
Y3 0.4631 0.4631 0.6996  1 Cu 2.84
Y4 0.5369 0.5369 0.3004  1 Cu 2.84
Y5 0.5967 0.9965 0.2610  2 Cu 2.78-3.02
Y6 0.9965 0.5967 0.2610  2 Cu 2.78-3.02
Cu1 0.2282 0.2282 0.0791  5 Y 2.78-3.02, 2 Sm 2.86-2.96
Cu2 0.7718 0.7718 0.9209  5 Y 2.78-3.02, 2 Sm 2.86-2.96

---

# PmDyGa2Pt5

A geometry-optimized PmDyGa2Pt5 structure (GGA-PBE, Alexandria).

## Properties
- ΔE_f: -0.9173 eV per atom
- Crystal system: tetragonal

Cell lengths 4.2100, 4.2100, 9.3695 Å; angles 90.00, 90.00, 90.00 degrees
Closest atoms and distances in Å follow each position.
Atoms (fractional coordinates):
Pm1 0.0000 0.0000 0.0000  12 Pt 2.98-3.01
Dy1 0.0000 0.0000 0.5000  8 Ga 3.22, 8 Pt 3.30
Ga1 0.5000 0.5000 0.3698  1 Ga 2.44, 4 Pt 2.48
Ga2 0.5000 0.5000 0.6302  1 Ga 2.44, 4 Pt 2.48
Pt1 0.0000 0.5000 0.2289  2 Ga 2.48
Pt2 0.0000 0.5000 0.7711  2 Ga 2.48
Pt3 0.5000 0.0000 0.2289  2 Ga 2.48
Pt4 0.5000 0.0000 0.7711  2 Ga 2.48
Pt5 0.5000 0.5000 0.0000  4 Pm 2.98, 8 Pt 3.01

---

# YMg2Rh2

A geometry-optimized YMg2Rh2 structure (GGA-PBE, Alexandria).

## Properties
- ΔE_f: -0.4621 eV per atom
- Crystal system: tetragonal
- Energy above the most stable polymorph in this dataset: 78 meV per atom

Cell lengths 7.6293, 7.6293, 3.1004 Å; angles 90.00, 90.00, 90.00 degrees
Closest atoms and distances in Å follow each position.
Atoms (fractional coordinates):
Y1 0.0000 0.0000 0.0000  4 Mg 3.02, 2 Y 3.10, 8 Rh 3.22
Y2 0.5000 0.5000 0.0000  4 Mg 3.02, 2 Y 3.10, 8 Rh 3.22
Mg1 0.1234 0.3766 0.0000  1 Mg 2.66, 6 Rh 2.67-2.78
Mg2 0.3766 0.8766 0.0000  1 Mg 2.66, 6 Rh 2.67-2.78
Mg3 0.6234 0.1234 0.0000  1 Mg 2.66, 6 Rh 2.67-2.78
Mg4 0.8766 0.6234 0.0000  1 Mg 2.66, 6 Rh 2.67-2.78
Rh1 0.1747 0.6747 0.5000  6 Mg 2.67-2.78
Rh2 0.3253 0.1747 0.5000  6 Mg 2.67-2.78
Rh3 0.6747 0.8253 0.5000  6 Mg 2.67-2.78
Rh4 0.8253 0.3253 0.5000  6 Mg 2.67-2.78

---

# Pr5Hg2P

A geometry-optimized Pr5Hg2P structure (GGA-PBE, Alexandria).

## Properties
- ΔE_f: -0.5940 eV per atom
- Crystal system: orthorhombic

Cell lengths 12.8869, 8.2123, 9.3742 Å; angles 90.00, 90.00, 90.00 degrees
Closest atoms and distances in Å follow each position.
Atoms (fractional coordinates):
Pr1 0.0012 0.2500 0.0012  4 Hg 3.19-3.20
Pr2 0.0687 0.0004 0.6887  2 P 2.85
Pr3 0.0687 0.4996 0.6887  2 P 2.85
Pr4 0.2006 0.2500 0.3646  1 P 2.88
Pr5 0.2010 0.7500 0.3664  1 P 2.88
Pr6 0.2990 0.2500 0.8664  1 P 2.88
Pr7 0.2994 0.7500 0.8646  1 P 2.88
Pr8 0.4313 0.9996 0.1887  2 P 2.85
Pr9 0.4313 0.5004 0.1887  2 P 2.85
Pr10 0.4988 0.7500 0.5012  4 Hg 3.19-3.20
Pr11 0.5012 0.2500 0.4988  4 Hg 3.19-3.20
Pr12 0.5687 0.0004 0.8113  2 P 2.85
Pr13 0.5687 0.4996 0.8113  2 P 2.85
Pr14 0.7006 0.2500 0.1354  1 P 2.88
Pr15 0.7010 0.7500 0.1336  1 P 2.88
Pr16 0.7990 0.2500 0.6336  1 P 2.88
Pr17 0.7994 0.7500 0.6354  1 P 2.88
Pr18 0.9313 0.9996 0.3113  2 P 2.85
Pr19 0.9313 0.5004 0.3113  2 P 2.85
Pr20 0.9988 0.7500 0.9988  4 Hg 3.19-3.20
Hg1 0.1788 0.5021 0.0887  7 Pr 3.19-3.39
Hg2 0.1788 0.9979 0.0887  7 Pr 3.19-3.39
Hg3 0.3212 0.0021 0.5887  7 Pr 3.19-3.39
Hg4 0.3212 0.4979 0.5887  7 Pr 3.19-3.39
Hg5 0.6788 0.5021 0.4113  7 Pr 3.19-3.39
Hg6 0.6788 0.9979 0.4113  7 Pr 3.19-3.39
Hg7 0.8212 0.0021 0.9113  7 Pr 3.19-3.39
Hg8 0.8212 0.4979 0.9113  7 Pr 3.19-3.39
P1 0.9999 0.2500 0.4997  6 Pr 2.85-2.88
P2 0.0001 0.7500 0.5003  6 Pr 2.85-2.88
P3 0.4999 0.2500 0.0003  6 Pr 2.85-2.88
P4 0.5001 0.7500 0.9997  6 Pr 2.85-2.88

---

# La2YAlS

A geometry-optimized La2YAlS structure (GGA-PBE, Alexandria).

## Properties
- Crystal system: tetragonal
- Formation energy (no corrections): 8.1 kJ/mol of atoms

Cell lengths 5.7295, 5.7295, 5.4079 Å; angles 90.00, 90.00, 90.00 degrees
Closest atoms and distances in Å follow each position.
Atoms (fractional coordinates):
La1 0.0000 0.5000 0.0000  2 Al 2.86
La2 0.5000 0.0000 0.0000  2 Al 2.86
Y1 0.0000 0.0000 0.5000  2 Al 2.70
Al1 0.0000 0.0000 0.0000  2 Y 2.70, 4 La 2.86
S1 0.5000 0.5000 0.5000  8 La 3.94, 4 Y 4.05

---

# K4I2N

A geometry-optimized K4I2N structure (GGA-PBE, Alexandria).

## Properties
- Crystal system: tetragonal
- Energy above the most stable polymorph in this dataset: 460 meV per atom
- Formation energy (no corrections): -13.7 kJ/mol of atoms

Cell lengths 15.3207, 15.3207, 15.3207 Å; angles 159.54, 159.54, 29.09 degrees
Closest atoms and distances in Å follow each position.
Atoms (fractional coordinates):
K1 0.0000 0.5000 0.5000  2 N 2.72
K2 0.1954 0.1954 0.0000  1 I 3.31
K3 0.5000 0.0000 0.5000  2 N 2.72
K4 0.8046 0.8046 0.0000  1 I 3.31
I1 0.0838 0.0838 0.0000  1 N 2.48
I2 0.9162 0.9162 0.0000  1 N 2.48
N1 0.0000 0.0000 0.0000  2 I 2.48, 4 K 2.72

---

# PaBO2

A geometry-optimized PaBO2 structure (GGA-PBE, Alexandria).

## Properties
- Crystal system: trigonal
- Formation energy (no corrections): -71.9 kJ/mol of atoms

Cell lengths 6.7746, 6.7746, 6.7746 Å; angles 23.54, 23.54, 23.54 degrees
Closest atoms and distances in Å follow each position.
Atoms (fractional coordinates):
Pa1 0.0000 0.0000 0.0000  2 O 2.43
B1 0.5000 0.5000 0.5000  6 O 1.81
O1 0.1231 0.1231 0.1231  3 B 1.81
O2 0.8769 0.8769 0.8769  3 B 1.81

---

# CsLiBr2

A geometry-optimized CsLiBr2 structure (GGA-PBE, Alexandria).

## Properties
- Crystal system: triclinic
- Formation energy (no corrections): -153.1 kJ/mol of atoms

Cell lengths 4.4247, 5.4352, 7.9195 Å; angles 93.45, 90.86, 112.49 degrees
Closest atoms and distances in Å follow each position.
Atoms (fractional coordinates):
Cs1 0.0000 0.0000 0.0000  6 Br 3.51-3.83
Li1 0.2483 0.4921 0.4618  3 Br 2.41-2.57
Br1 0.2948 0.5726 0.7656  1 Li 2.41
Br2 0.7168 0.4345 0.2992  2 Li 2.57

---

Uncorrected energy, record by record: -7.23 -4.97 -6.13 -5.61 -5.99 -5.33 -4.33 -4.75 -2.40 -7.27 -3.11 eV/atom
Total magnetic moment, record by record: 0.00 3.76 0.00 0.00 0.00 0.00 0.00 0.00 0.28 0.67 0.00 μB/f.u.
DOS(E_F), record by record: 7.71 20.65 2.90 8.41 3.77 2.09 9.61 5.97 4.53 3.35 0.00 states/eV/f.u.